Compound: CrTcIr2
Source: Alexandria via LeMat-Bulk
Functional: GGA-PBEsol
Structure: optimized geometry

```
4
Lattice="-1.8830 1.8830 3.7731 1.8830 -1.8830 3.7731 1.8830 1.8830 -3.7731" Properties=species:S:1:pos:R:3 pbc="T T T"
Cr 0.0000 0.0000 0.0000
Tc 0.0000 0.0000 3.7731
Ir 1.8830 0.0000 1.8866
Ir 0.0000 1.8830 1.8866
```

Properties
Energy of formation from the pure elements: -0.1808 eV per atom
V: 13.4 Å³ per atom
Mass density: 16.58 g/cm3
Space group: No. 139
Energy above the most stable polymorph in this dataset: 0.36 eV per formula unit
E_tot: -10.470 eV per atom